No. 1
{"formula": "SmCdPt2", "functional": "PBE-GGA", "state": "optimized geometry", "lattice_angstrom": [[3.640, 0.000, 0.000], [0.000, 3.640, 0.000], [0.000, 0.000, 6.094]], "species": ["Sm", "Cd", "Pt", "Pt"], "frac_coords": [[0.000, 0.000, 0.000], [0.000, 0.000, 0.500], [0.500, 0.500, 0.265], [0.500, 0.500, 0.735]], "crystal_system": "tetragonal", "formation_enthalpy_0k_mev_per_atom": -765, "volume_a3_per_atom": 20.19, "dos_ef_per_ev_atom": 0.272, "space_group": "P4/mmm (123)", "dft_energy_ev_per_atom": -5.19}

No. 2
{"formula": "Sm3Cd4Pt4", "functional": "PBE-GGA", "state": "optimized geometry", "lattice_angstrom": [[-1.993, 4.022, 7.758], [1.993, -4.022, 7.758], [1.993, 4.022, -7.758]], "species": ["Sm", "Sm", "Sm", "Cd", "Cd", "Cd", "Cd", "Pt", "Pt", "Pt", "Pt"], "frac_coords": [[0.000, 0.000, 0.000], [0.386, 0.886, 0.500], [0.614, 0.114, 0.500], [0.021, 0.331, 0.691], [0.360, 0.669, 0.691], [0.640, 0.331, 0.309], [0.979, 0.669, 0.309], [0.243, 0.243, 0.000], [0.301, 0.500, 0.801], [0.699, 0.500, 0.199], [0.757, 0.757, 0.000]], "crystal_system": "orthorhombic", "formation_enthalpy_0k_mev_per_atom": -734, "volume_a3_per_atom": 22.61, "dos_ef_per_ev_atom": 0.578, "space_group": "Immm (71)", "dft_energy_ev_per_atom": -4.55}